1.
Sc3CdO | Alexandria via LeMat-Bulk | PBE-GGA | optimized geometry; formation energy (no corrections) = -1.188 eV/atom; crystal system = monoclinic; E = -6.162 eV/atom
1.0
7.9398 0.0000 0.0000
0.0000 5.8380 0.0000
-3.5906 0.0000 8.0430
Sc Cd O
12 4 4
direct
0.0526 0.0845 0.3499 Sc
0.0526 0.4155 0.8499 Sc
0.1895 0.5644 0.5412 Sc
0.1895 0.9356 0.0412 Sc
0.3454 0.1301 0.7647 Sc
0.3454 0.3699 0.2647 Sc
0.6546 0.6301 0.7353 Sc
0.6546 0.8699 0.2353 Sc
0.8105 0.0644 0.9588 Sc
0.8105 0.4356 0.4588 Sc
0.9474 0.5845 0.1501 Sc
0.9474 0.9155 0.6501 Sc
0.3975 0.6690 0.8962 Cd
0.3975 0.8310 0.3962 Cd
0.6025 0.1690 0.6038 Cd
0.6025 0.3310 0.1038 Cd
0.0708 0.2452 0.5913 O
0.0708 0.2548 0.0913 O
0.9292 0.7452 0.9087 O
0.9292 0.7548 0.4087 O

=====

2.
Sc3CdO | Alexandria via LeMat-Bulk | PBE-GGA | optimized geometry; formation energy (no corrections) = -1.268 eV/atom; crystal system = triclinic; E = -6.242 eV/atom
1.0
6.0996 0.0000 0.0000
-0.7464 6.0562 0.0000
-2.8770 -0.8329 5.5354
Sc Cd O
6 2 2
direct
0.0309 0.1798 0.3464 Sc
0.1435 0.3711 0.8876 Sc
0.4511 0.8764 0.2154 Sc
0.5489 0.1236 0.7846 Sc
0.8565 0.6289 0.1124 Sc
0.9691 0.8202 0.6536 Sc
0.3977 0.6322 0.6238 Cd
0.6023 0.3678 0.3762 Cd
0.1019 0.7038 0.9778 O
0.8981 0.2962 0.0222 O

=====

3.
Sc3CdO | Alexandria via LeMat-Bulk | PBE-GGA | optimized geometry; formation energy (no corrections) = -1.063 eV/atom; crystal system = monoclinic; E = -6.036 eV/atom
1.0
6.2097 -1.6616 0.0000
6.2097 1.6616 0.0000
-3.7193 0.0000 10.4890
Sc Cd O
6 2 2
direct
0.0938 0.0938 0.1448 Sc
0.1747 0.1747 0.8757 Sc
0.3081 0.3081 0.4043 Sc
0.6919 0.6919 0.5957 Sc
0.8253 0.8253 0.1243 Sc
0.9062 0.9062 0.8552 Sc
0.0260 0.0260 0.3783 Cd
0.9740 0.9740 0.6217 Cd
0.2263 0.2263 0.0821 O
0.7737 0.7737 0.9179 O